1.
First-principles (PBE) data for a relaxed structure of LiGePtPb, as listed in Alexandria via LeMat-Bulk.

Cell: 4.728 4.728 4.728 Å, 60.00 60.00 60.00°
Atoms (fractional coordinates):
Li 0.000 0.000 0.000
Ge 0.750 0.750 0.750
Pt 0.500 0.500 0.500
Pb 0.250 0.250 0.250

Results
- DFT formation energy: -0.211 eV/atom
- Uncorrected energy: -0.1573 Ha/atom


2.
First-principles (PBE) data for a relaxed structure of LiRe2GePb, as listed in Alexandria via LeMat-Bulk.

Cell: 4.424 4.424 4.368 Å, 90.00 90.00 90.00°
Atoms (fractional coordinates):
Li 0.000 0.000 0.000
Re 0.000 0.500 0.000
Re 0.500 0.000 0.000
Ge 0.500 0.500 0.500
Pb 0.000 0.000 0.500

Results
- DFT formation energy: 1.621 eV/atom
- Uncorrected energy: -0.1987 Ha/atom


3.
First-principles (PBE) data for a relaxed structure of LiGe2Pb2S6, as listed in Alexandria via LeMat-Bulk.

Cell: 7.396 7.396 7.164 Å, 111.07 111.07 55.14°
Atoms (fractional coordinates):
Li 0.000 0.000 0.000
Ge 0.499 0.499 0.184
Ge 0.501 0.501 0.816
Pb 0.227 0.227 0.723
Pb 0.773 0.773 0.277
S 0.133 0.653 0.711
S 0.329 0.329 0.163
S 0.347 0.867 0.289
S 0.653 0.133 0.711
S 0.671 0.671 0.837
S 0.867 0.347 0.289

Results
- Energy relative to the elements, uncorrected: -4.655 eV/f.u.
- Uncorrected energy: -0.1603 Ha/atom


4.
First-principles (PBE) data for a relaxed structure of LiGePb2Se4, as listed in Alexandria via LeMat-Bulk.

Cell: 8.241 8.241 8.241 Å, 119.72 119.49 90.68°
Atoms (fractional coordinates):
Li 0.000 0.000 0.000
Li 0.500 0.000 0.500
Ge 0.500 0.000 0.000
Ge 0.500 0.500 0.500
Pb 0.000 0.000 0.500
Pb 0.000 0.500 0.000
Pb 0.000 0.500 0.500
Pb 0.500 0.500 0.000
Se 0.259 0.238 0.020
Se 0.261 0.243 0.482
Se 0.261 0.780 0.018
Se 0.282 0.762 0.520
Se 0.718 0.238 0.480
Se 0.739 0.220 0.982
Se 0.739 0.757 0.518
Se 0.741 0.762 0.980

Results
- Energy relative to the elements, uncorrected: -4.176 eV/f.u.
- Uncorrected energy: -0.1473 Ha/atom


5.
First-principles (PBE) data for a relaxed structure of Li2GePbSe4, as listed in Alexandria via LeMat-Bulk.

Cell: 9.611 6.810 6.545 Å, 90.00 90.00 90.00°
Atoms (fractional coordinates):
Li 0.249 0.193 0.000
Li 0.251 0.807 0.500
Li 0.749 0.807 0.500
Li 0.751 0.193 0.000
Ge 0.000 0.682 0.017
Ge 0.500 0.318 0.517
Pb 0.000 0.295 0.486
Pb 0.500 0.705 0.986
Se 0.000 0.337 0.937
Se 0.000 0.711 0.384
Se 0.204 0.833 0.887
Se 0.296 0.167 0.387
Se 0.500 0.289 0.884
Se 0.500 0.663 0.437
Se 0.704 0.167 0.387
Se 0.796 0.833 0.887

Results
- Energy relative to the elements, uncorrected: -5.793 eV/f.u.
- Uncorrected energy: -0.1465 Ha/atom


6.
First-principles (PBE) data for a relaxed structure of LiGe2PbSe6, as listed in Alexandria via LeMat-Bulk.

Cell: 9.075 9.075 7.073 Å, 102.95 102.95 84.60°
Atoms (fractional coordinates):
Li 0.246 0.754 0.750
Li 0.754 0.246 0.250
Ge 0.214 0.370 0.274
Ge 0.370 0.214 0.774
Ge 0.630 0.786 0.226
Ge 0.786 0.630 0.726
Pb 0.143 0.857 0.250
Pb 0.857 0.143 0.750
Se 0.036 0.175 0.168
Se 0.089 0.598 0.417
Se 0.175 0.036 0.668
Se 0.309 0.438 0.015
Se 0.402 0.911 0.083
Se 0.438 0.309 0.515
Se 0.562 0.691 0.485
Se 0.598 0.089 0.917
Se 0.691 0.562 0.985
Se 0.825 0.964 0.332
Se 0.911 0.402 0.583
Se 0.964 0.825 0.832

Results
- Energy relative to the elements, uncorrected: -3.748 eV/f.u.
- Uncorrected energy: -0.1452 Ha/atom


7.
First-principles (PBE) data for a relaxed structure of LiGeTe4Pb2, as listed in Alexandria via LeMat-Bulk.

Cell: 7.553 4.389 7.662 Å, 90.00 109.03 90.00°
Atoms (fractional coordinates):
Li 0.000 0.000 0.000
Ge 0.000 0.500 0.500
Te 0.221 0.000 0.741
Te 0.222 0.500 0.243
Te 0.778 0.500 0.757
Te 0.779 0.000 0.259
Pb 0.500 0.000 0.500
Pb 0.500 0.500 0.000

Results
- Energy relative to the elements, uncorrected: -2.851 eV/f.u.
- Uncorrected energy: -0.1349 Ha/atom


8.
First-principles (PBE) data for a relaxed structure of LiGeTe3Pb, as listed in Alexandria via LeMat-Bulk.

Cell: 9.007 4.094 9.882 Å, 90.00 103.06 90.00°
Atoms (fractional coordinates):
Li 0.076 0.250 0.104
Li 0.924 0.750 0.896
Ge 0.327 0.750 0.394
Ge 0.673 0.250 0.606
Te 0.107 0.250 0.393
Te 0.242 0.750 0.015
Te 0.459 0.750 0.674
Te 0.541 0.250 0.326
Te 0.758 0.250 0.985
Te 0.893 0.750 0.607
Pb 0.202 0.250 0.769
Pb 0.798 0.750 0.231

Results
- Energy relative to the elements, uncorrected: -1.874 eV/f.u.
- Uncorrected energy: -0.1319 Ha/atom


9.
First-principles (PBE) data for a relaxed structure of LiTmGePb, as listed in Alexandria via LeMat-Bulk.

Cell: 5.068 5.068 5.068 Å, 60.00 60.00 60.00°
Atoms (fractional coordinates):
Li 0.000 0.000 0.000
Tm 0.500 0.500 0.500
Ge 0.250 0.250 0.250
Pb 0.750 0.750 0.750

Results
- DFT formation energy: -0.289 eV/atom
- Uncorrected energy: -0.1458 Ha/atom


10.
First-principles (PBE) data for a relaxed structure of LiGePb2W, as listed in Alexandria via LeMat-Bulk.

Cell: 5.595 5.595 4.866 Å, 90.00 90.00 90.00°
Atoms (fractional coordinates):
Li 0.000 0.000 0.000
Ge 0.500 0.500 0.500
Pb 0.000 0.500 0.500
Pb 0.500 0.000 0.500
W 0.500 0.500 0.000

Results
- DFT formation energy: 1.029 eV/atom
- Uncorrected energy: -0.1599 Ha/atom


11.
First-principles (PBE) data for a relaxed structure of LiZnGePb, as listed in Alexandria via LeMat-Bulk.

Cell: 4.875 4.875 4.875 Å, 60.00 60.00 60.00°
Atoms (fractional coordinates):
Li 0.000 0.000 0.000
Zn 0.500 0.500 0.500
Ge 0.250 0.250 0.250
Pb 0.750 0.750 0.750

Results
- DFT formation energy: 0.019 eV/atom
- Uncorrected energy: -0.1051 Ha/atom


12.
First-principles (PBE) data for a relaxed structure of Li3GePd6, as listed in Alexandria via LeMat-Bulk.

Cell: 7.363 4.403 9.263 Å, 90.00 107.77 90.00°
Atoms (fractional coordinates):
Li 0.036 0.250 0.388
Li 0.135 0.750 0.199
Li 0.268 0.250 0.983
Li 0.732 0.750 0.017
Li 0.865 0.250 0.801
Li 0.964 0.750 0.612
Ge 0.439 0.250 0.608
Ge 0.561 0.750 0.392
Pd 0.035 0.750 0.907
Pd 0.141 0.250 0.680
Pd 0.261 0.750 0.494
Pd 0.345 0.750 0.812
Pd 0.350 0.250 0.310
Pd 0.426 0.750 0.116
Pd 0.574 0.250 0.884
Pd 0.650 0.750 0.690
Pd 0.655 0.250 0.188
Pd 0.739 0.250 0.506
Pd 0.859 0.750 0.320
Pd 0.965 0.250 0.093

Results
- DFT formation energy: -0.419 eV/atom
- Uncorrected energy: -0.1680 Ha/atom
- Distance to the lowest polymorph of the same formula: 0 meV per atom


13.
First-principles (PBE) data for a relaxed structure of Li5GePd6, as listed in Alexandria via LeMat-Bulk.

Cell: 6.719 6.719 5.969 Å, 90.02 90.02 142.98°
Atoms (fractional coordinates):
Li 0.000 0.000 0.000
Li 0.329 0.671 0.500
Li 0.334 0.666 0.000
Li 0.666 0.334 0.000
Li 0.671 0.329 0.500
Ge 0.000 0.000 0.500
Pd 0.164 0.835 0.751
Pd 0.165 0.836 0.249
Pd 0.500 0.500 0.254
Pd 0.500 0.500 0.746
Pd 0.835 0.164 0.751
Pd 0.836 0.165 0.249

Results
- DFT formation energy: -0.528 eV/atom
- Uncorrected energy: -0.1583 Ha/atom


14.
First-principles (PBE) data for a relaxed structure of LiGe3Pd5, as listed in Alexandria via LeMat-Bulk.

Cell: 6.760 6.760 8.918 Å, 113.20 113.20 64.94°
Atoms (fractional coordinates):
Li 0.155 0.155 0.349
Li 0.845 0.845 0.651
Ge 0.000 0.000 0.000
Ge 0.000 0.000 0.500
Ge 0.283 0.283 0.821
Ge 0.385 0.385 0.375
Ge 0.615 0.615 0.625
Ge 0.717 0.717 0.179
Pd 0.113 0.720 0.240
Pd 0.238 0.238 0.074
Pd 0.280 0.887 0.760
Pd 0.320 0.680 0.000
Pd 0.407 0.407 0.662
Pd 0.593 0.593 0.338
Pd 0.680 0.320 0.000
Pd 0.720 0.113 0.240
Pd 0.762 0.762 0.926
Pd 0.887 0.280 0.760

Results
- DFT formation energy: -0.246 eV/atom
- Uncorrected energy: -0.1794 Ha/atom


15.
First-principles (PBE) data for a relaxed structure of LiGe5Pd3, as listed in Alexandria via LeMat-Bulk.

Cell: 6.094 6.094 9.727 Å, 103.50 103.50 91.05°
Atoms (fractional coordinates):
Li 0.245 0.245 0.250
Li 0.755 0.755 0.750
Ge 0.195 0.195 0.525
Ge 0.197 0.679 0.626
Ge 0.286 0.286 0.981
Ge 0.288 0.712 0.000
Ge 0.321 0.803 0.374
Ge 0.679 0.197 0.626
Ge 0.712 0.288 0.000
Ge 0.714 0.714 0.019
Ge 0.803 0.321 0.374
Ge 0.805 0.805 0.475
Pd 0.000 0.000 0.000
Pd 0.066 0.066 0.725
Pd 0.435 0.435 0.775
Pd 0.500 0.500 0.500
Pd 0.565 0.565 0.225
Pd 0.934 0.934 0.275

Results
- DFT formation energy: -0.187 eV/atom
- Uncorrected energy: -0.1726 Ha/atom


16.
First-principles (PBE) data for a relaxed structure of Li3Ge4Pd4, as listed in Alexandria via LeMat-Bulk.

Cell: 13.586 13.586 13.586 Å, 167.70 161.20 22.53°
Atoms (fractional coordinates):
Li 0.000 0.000 0.000
Li 0.362 0.862 0.500
Li 0.638 0.138 0.500
Ge 0.186 0.686 0.500
Ge 0.452 0.452 0.000
Ge 0.548 0.548 0.000
Ge 0.814 0.314 0.500
Pd 0.092 0.592 0.500
Pd 0.271 0.271 0.000
Pd 0.729 0.729 0.000
Pd 0.908 0.408 0.500

Results
- DFT formation energy: -0.487 eV/atom
- Uncorrected energy: -0.1682 Ha/atom


17.
First-principles (PBE) data for a relaxed structure of Li2Ge3Pd2, as listed in Alexandria via LeMat-Bulk.

Cell: 5.123 5.123 6.734 Å, 110.88 110.88 47.38°
Atoms (fractional coordinates):
Li 0.168 0.168 0.302
Li 0.832 0.832 0.698
Ge 0.374 0.374 0.041
Ge 0.500 0.500 0.500
Ge 0.626 0.626 0.959
Pd 0.121 0.121 0.712
Pd 0.879 0.879 0.288

Results
- DFT formation energy: -0.413 eV/atom
- Uncorrected energy: -0.1625 Ha/atom


18.
First-principles (PBE) data for a relaxed structure of Li7GePd3, as listed in Alexandria via LeMat-Bulk.

Cell: 10.254 10.254 12.260 Å, 90.00 90.00 164.36°
Atoms (fractional coordinates):
Li 0.053 0.947 0.631
Li 0.053 0.947 0.869
Li 0.090 0.910 0.089
Li 0.090 0.910 0.411
Li 0.187 0.813 0.750
Li 0.220 0.780 0.093
Li 0.220 0.780 0.407
Li 0.780 0.220 0.593
Li 0.780 0.220 0.907
Li 0.813 0.187 0.250
Li 0.910 0.090 0.589
Li 0.910 0.090 0.911
Li 0.947 0.053 0.131
Li 0.947 0.053 0.369
Ge 0.466 0.534 0.750
Ge 0.534 0.466 0.250
Pd 0.342 0.658 0.750
Pd 0.345 0.655 0.065
Pd 0.345 0.655 0.435
Pd 0.655 0.345 0.565
Pd 0.655 0.345 0.935
Pd 0.658 0.342 0.250

Results
- DFT formation energy: -0.338 eV/atom
- Uncorrected energy: -0.1246 Ha/atom
- Distance to the lowest polymorph of the same formula: 0 meV per atom


19.
First-principles (PBE) data for a relaxed structure of Li2GePd4, as listed in Alexandria via LeMat-Bulk.

Cell: 9.250 9.250 5.265 Å, 90.00 90.00 153.07°
Atoms (fractional coordinates):
Li 0.008 0.992 0.750
Li 0.297 0.703 0.750
Li 0.703 0.297 0.250
Li 0.992 0.008 0.250
Ge 0.410 0.590 0.250
Ge 0.590 0.410 0.750
Pd 0.137 0.863 0.000
Pd 0.137 0.863 0.500
Pd 0.276 0.724 0.250
Pd 0.446 0.554 0.750
Pd 0.554 0.446 0.250
Pd 0.724 0.276 0.750
Pd 0.863 0.137 0.000
Pd 0.863 0.137 0.500

Results
- DFT formation energy: -0.430 eV/atom
- Uncorrected energy: -0.1692 Ha/atom
- Distance to the lowest polymorph of the same formula: 6 meV per atom


20.
First-principles (PBE) data for a relaxed structure of Li3GePd3, as listed in Alexandria via LeMat-Bulk.

Cell: 5.164 5.164 9.121 Å, 93.25 93.25 117.45°
Atoms (fractional coordinates):
Li 0.174 0.826 0.000
Li 0.243 0.757 0.500
Li 0.411 0.411 0.125
Li 0.589 0.589 0.875
Li 0.757 0.243 0.500
Li 0.826 0.174 0.000
Ge 0.339 0.339 0.623
Ge 0.661 0.661 0.377
Pd 0.012 0.444 0.769
Pd 0.161 0.161 0.358
Pd 0.444 0.012 0.769
Pd 0.556 0.988 0.231
Pd 0.839 0.839 0.642
Pd 0.988 0.556 0.231

Results
- DFT formation energy: -0.396 eV/atom
- Uncorrected energy: -0.1507 Ha/atom